(1)
Computed, not measured: a relaxed MgSiBr2 crystal at the PBE level of DFT.

- total moment (μB per cell) = 0.00
- distance to the lowest polymorph of the same formula (meV/atom) = 267
- uncorrected formation energy (eV/atom) = -0.0877
- calculated density (Mg/m³) = 3.5
- total DFT energy (no corrections) (eV/atom) = -2.6785
- DOS at the Fermi energy (states/eV/cell) = 2.2

Cell: 7.724 7.724 6.694 Å, 90.00 90.00 90.00°
Space group I-42d (No. 122)
Asymmetric unit:
Mg 0.000 0.000 0.000 (multiplicity 4)
Si 0.000 0.000 0.500 (multiplicity 4)
Br 0.227 0.250 0.125 (multiplicity 8)

(2)
Computed, not measured: a relaxed In2RePt crystal at the PBE level of DFT.

- total moment (μB per cell) = 0.00
- distance to the lowest polymorph of the same formula (meV/atom) = 25
- calculated density (Mg/m³) = 14.2
- total DFT energy (no corrections) (eV/atom) = -5.8107
- DOS at the Fermi energy (states/eV/cell) = 4.0
- formation energy (eV per atom) = 0.181

Cell: 6.144 7.967 2.914 Å, 90.00 90.00 90.00°
Space group Cmmm (No. 65)
Asymmetric unit:
In 0.250 0.250 0.000 (multiplicity 4)
Re 0.000 0.000 0.500 (multiplicity 2)
Pt 0.000 0.500 0.500 (multiplicity 2)

(3)
Computed, not measured: a relaxed Mn2PtSe crystal at the PBE level of DFT.

- total moment (μB per cell) = 8.52
- uncorrected formation energy (eV/atom) = -0.0315
- calculated density (Mg/m³) = 9.8
- total DFT energy (no corrections) (eV/atom) = -6.9976
- DOS at the Fermi energy (states/eV/cell) = 2.8

Cell: 4.524 4.524 3.190 Å, 90.00 90.00 90.00°
Space group P4/mmm (No. 123)
Asymmetric unit:
Mn 0.000 0.500 0.000 (multiplicity 2)
Pt 0.000 0.000 0.500 (multiplicity 1)
Se 0.500 0.500 0.500 (multiplicity 1)

(4)
Computed, not measured: a relaxed PICl2O crystal at the PBE level of DFT.

- total moment (μB per cell) = 0.00
- distance to the lowest polymorph of the same formula (meV/atom) = 0
- uncorrected formation energy (eV/atom) = 0.7258
- calculated density (Mg/m³) = 4.2
- total DFT energy (no corrections) (eV/atom) = -2.3965
- DOS at the Fermi energy (states/eV/cell) = 1.7

Cell: 4.679 4.679 4.394 Å, 90.00 90.00 90.00°
Space group P4/mmm (No. 123)
Asymmetric unit:
P 0.000 0.000 0.000 (multiplicity 1)
I 0.500 0.500 0.000 (multiplicity 1)
Cl 0.000 0.500 0.500 (multiplicity 2)
O 0.000 0.000 0.500 (multiplicity 1)

Q: What is the total moment in the third record?
A: 8.52 μB per cell

Q: Among the records above, which one has the highest total moment?
A: Mn2PtSe

Q: Which of these has the highest calculated density?
A: In2RePt

Q: Which of these has the highest DOS at the Fermi energy?
A: In2RePt